No. 1
# RbAsAu2C | the Alexandria database | PBE | optimized geometry
# Energy of formation from the pure elements ... 2662 meV/atom
# Magnetization ... 4.0 μB/f.u.
data_RbAsAu2C
_cell_length_a 6.4785
_cell_length_b 6.9514
_cell_length_c 6.4785
_cell_angle_alpha 90.00
_cell_angle_beta 90.00
_cell_angle_gamma 90.00
_symmetry_space_group_name_H-M 'P 1'
_symmetry_Int_Tables_number 1
_symmetry_space_group_name_Hall 'P 1'
loop_
_atom_site_label
_atom_site_type_symbol
_atom_site_fract_x
_atom_site_fract_y
_atom_site_fract_z
As1 As 0.0000 0.5000 0.0000
Au1 Au 0.0000 0.0000 0.5000
Au2 Au 0.5000 0.0000 0.0000
C1 C 0.5000 0.5000 0.5000
Rb1 Rb 0.0000 0.0000 0.0000

=====

No. 2
# ScAsAuC2 | the Alexandria database | PBE | optimized geometry
# Energy of formation from the pure elements ... 1512 meV/atom
# Magnetization ... 0.0 μB/f.u.
data_ScAsAuC2
_cell_length_a 4.0250
_cell_length_b 5.0070
_cell_length_c 4.0250
_cell_angle_alpha 90.00
_cell_angle_beta 90.00
_cell_angle_gamma 90.00
_symmetry_space_group_name_H-M 'P 1'
_symmetry_Int_Tables_number 1
_symmetry_space_group_name_Hall 'P 1'
loop_
_atom_site_label
_atom_site_type_symbol
_atom_site_fract_x
_atom_site_fract_y
_atom_site_fract_z
Sc1 Sc 0.5000 0.5000 0.5000
As1 As 0.0000 0.0000 0.0000
Au1 Au 0.0000 0.5000 0.0000
C1 C 0.0000 0.0000 0.5000
C2 C 0.5000 0.0000 0.0000

=====

No. 3
# Tc2AsAuC | the Alexandria database | PBE | optimized geometry
# Energy of formation from the pure elements ... 2045 meV/atom
# Magnetization ... 6.1 μB/f.u.
data_Tc2AsAuC
_cell_length_a 5.1928
_cell_length_b 3.7378
_cell_length_c 5.1928
_cell_angle_alpha 90.00
_cell_angle_beta 90.00
_cell_angle_gamma 90.00
_symmetry_space_group_name_H-M 'P 1'
_symmetry_Int_Tables_number 1
_symmetry_space_group_name_Hall 'P 1'
loop_
_atom_site_label
_atom_site_type_symbol
_atom_site_fract_x
_atom_site_fract_y
_atom_site_fract_z
C1 C 0.0000 0.5000 0.0000
As1 As 0.5000 0.5000 0.5000
Au1 Au 0.0000 0.0000 0.0000
Tc1 Tc 0.0000 0.0000 0.5000
Tc2 Tc 0.5000 0.0000 0.0000

=====

No. 4
# CaAs4Au | the Alexandria database | PBE | optimized geometry
# Energy of formation from the pure elements ... -103 meV/atom
# Magnetization ... 0.0 μB/f.u.
data_CaAs4Au
_cell_length_a 5.6423
_cell_length_b 5.6423
_cell_length_c 5.6423
_cell_angle_alpha 60.00
_cell_angle_beta 60.00
_cell_angle_gamma 60.00
_symmetry_space_group_name_H-M 'P 1'
_symmetry_Int_Tables_number 1
_symmetry_space_group_name_Hall 'P 1'
loop_
_atom_site_label
_atom_site_type_symbol
_atom_site_fract_x
_atom_site_fract_y
_atom_site_fract_z
Ca1 Ca 0.0000 0.0000 0.0000
As1 As 0.8677 0.3774 0.3774
As2 As 0.3774 0.3774 0.8677
As3 As 0.3774 0.8677 0.3774
As4 As 0.3774 0.3774 0.3774
Au1 Au 0.7500 0.7500 0.7500